Model one:
Compound: CoPbI2
Source: the Alexandria database
Functional: GGA-PBE
Structure: optimized geometry

Geometry as POSCAR:
```
CoPbI2
1.0
3.910 0.000 0.000
1.955 3.387 0.000
1.955 1.129 9.600
Pb I Co
1 2 1
Cartesian
0.000 0.000 0.000
1.955 1.129 6.342
5.866 3.387 3.258
3.910 2.258 4.800
```

Values from the calculation:
DOS(E_F): 7.394 states/eV per cell
space group: R-3m
magnetic moment: 0.58 μB/atom



Model two:
Compound: CoPbI2
Source: the Alexandria database
Functional: GGA-PBE
Structure: optimized geometry

Geometry as POSCAR:
```
CoPbI2
1.0
7.296 0.000 0.000
0.000 7.296 0.000
3.648 3.648 5.112
Pb I Co
2 4 2
Cartesian
0.000 0.000 0.000
7.296 3.648 2.556
4.852 1.824 1.278
2.445 5.472 1.278
5.472 6.093 3.834
9.121 8.500 3.834
3.648 3.648 0.000
3.648 7.296 2.556
```

Values from the calculation:
DOS(E_F): 4.858 states/eV per cell
space group: I-42d
magnetic moment: 0.26 μB/atom



Which one sits at the bottom of the stability order? model two does.



Model one:
Compound: Co2Pb2I
Source: the Alexandria database
Functional: GGA-PBE
Structure: optimized geometry

Geometry as POSCAR:
```
Co2Pb2I
1.0
7.680 0.000 0.000
0.000 7.680 0.000
0.000 0.000 3.885
Pb I Co
4 2 4
Cartesian
1.225 5.064 1.942
5.064 6.455 1.942
6.455 2.615 1.942
2.615 1.225 1.942
0.000 0.000 0.000
3.840 3.840 0.000
3.032 6.872 0.000
6.872 4.648 0.000
4.648 0.808 0.000
0.808 3.032 0.000
```

Values from the calculation:
DOS(E_F): 10.107 states/eV per cell
space group: P4/mbm
magnetic moment: 0.52 μB/atom



Model two:
Compound: Co2Pb2I
Source: the Alexandria database
Functional: GGA-PBE
Structure: optimized geometry

Geometry as POSCAR:
```
Co2Pb2I
1.0
-1.690 0.897 4.347
-4.435 -0.523 -1.616
-2.869 -4.986 2.508
Pb I Co
2 1 2
Cartesian
-3.810 -1.951 4.110
-5.183 -2.661 1.129
0.000 0.000 0.000
-3.021 -0.908 1.607
-5.972 -3.705 3.632
```

Values from the calculation:
DOS(E_F): 8.956 states/eV per cell
space group: I4/mmm
magnetic moment: 0.50 μB/atom



Which one sits at the bottom of the stability order? model two does.



Model one:
Compound: Co3PbI
Source: the Alexandria database
Functional: GGA-PBE
Structure: optimized geometry

Geometry as POSCAR:
```
Co3PbI
1.0
5.005 0.000 0.000
0.000 5.005 0.000
0.000 0.000 5.005
Pb I Co
1 1 3
Cartesian
0.000 0.000 0.000
2.503 2.503 2.503
0.000 2.503 0.000
0.000 0.000 2.503
2.503 0.000 0.000
```

Values from the calculation:
DOS(E_F): 22.314 states/eV per cell
space group: Pm-3m
magnetic moment: 1.15 μB/atom



Model two:
Compound: Co3PbI
Source: the Alexandria database
Functional: GGA-PBE
Structure: optimized geometry

Geometry as POSCAR:
```
Co3PbI
1.0
4.677 0.000 0.000
0.000 4.677 0.000
0.000 0.000 4.677
Pb I Co
1 1 3
Cartesian
2.339 2.339 2.339
0.000 0.000 0.000
0.000 2.339 0.000
0.000 0.000 2.339
2.339 0.000 0.000
```

Values from the calculation:
DOS(E_F): 5.959 states/eV per cell
space group: Pm-3m
magnetic moment: 0.42 μB/atom



Which one sits at the bottom of the stability order? model one does.